Entry 1:
VASP calculation (GGA+U) on a relaxed LaVO4 crystal.

a = 5.4115 Å, b = 5.2807 Å, c = 5.4393 Å
α = 90.00°, β = 100.22°, γ = 90.00°
Last column: nearest neighbours and their distance in Å.
Space group P2_1/c (No. 14)
Asymmetric unit:
1 La 0.0000 0.0000 0.0000  4 O 2.29-2.40
2 V 0.5000 0.0000 0.5000  6 O 1.80-2.00
3 O 0.1884 0.1285 0.4152  1 V 1.80
4 O 0.3808 0.7295 0.2483  2 V 2.00

- Raw total energy: -47.00 eV/f.u.


Entry 2:
VASP calculation (GGA+U) on a relaxed LaV4O12 crystal.

a = 7.5301 Å, b = 7.5301 Å, c = 7.5301 Å
α = 90.00°, β = 90.00°, γ = 90.00°
Last column: nearest neighbours and their distance in Å.
Space group Im-3 (No. 204)
Asymmetric unit:
1 La 0.0000 0.0000 0.0000  12 O 2.60
2 V 0.2500 0.2500 0.2500  6 O 1.88
3 O 0.0000 0.2455 0.2434  2 V 1.88

- Raw total energy: -126.21 eV/f.u.


Entry 3:
VASP calculation (GGA+U) on a relaxed LaVO2 crystal.

a = 5.9035 Å, b = 5.9035 Å, c = 5.9035 Å
α = 90.00°, β = 90.00°, γ = 90.00°
Last column: nearest neighbours and their distance in Å.
Space group Fm-3m (No. 225)
Asymmetric unit:
1 La 0.0000 0.0000 0.0000  8 O 2.56
2 V 0.0000 0.0000 0.5000  8 O 2.56
3 O 0.2500 0.2500 0.2500  4 La 2.56, 4 V 2.56

- Relative energy among the computed polymorphs: 675.5 meV/atom


Entry 4:
VASP calculation (GGA+U) on a relaxed La2V3O10 crystal.

a = 17.7376 Å, b = 5.7072 Å, c = 7.5004 Å
α = 90.00°, β = 112.53°, γ = 90.00°
Last column: nearest neighbours and their distance in Å.
Space group C2/m (No. 12)
Asymmetric unit:
1 La 0.1048 0.0000 0.2187  7 O 2.50-2.70
2 La 0.2097 0.0000 0.8139  4 O 2.43-2.59
3 V 0.0000 0.2428 0.5000  6 O 1.90-2.01
4 V 0.0808 0.5000 0.9616  4 O 1.79-2.00
5 V 0.1825 0.5000 0.5226  6 O 1.76-1.92
6 O 0.0000 0.2741 0.0000  2 V 2.03
7 O 0.0168 0.0000 0.6856  2 V 1.90
8 O 0.0265 0.5000 0.6985  3 V 1.83-2.01
9 O 0.1118 0.2482 0.5309  2 V 1.91-1.92
10 O 0.1324 0.5000 0.2504  2 V 1.89-2.00
11 O 0.1495 0.2624 0.9787  1 V 1.79
12 O 0.2337 0.5000 0.7759  1 V 1.76
13 O 0.2500 0.2500 0.5000  2 V 1.91

- Raw total energy: -118.37 eV/f.u.


Entry 5:
VASP calculation (GGA+U) on a relaxed LaV2O2 crystal.

a = 8.5945 Å, b = 8.5945 Å, c = 9.8441 Å
α = 90.00°, β = 90.00°, γ = 90.00°
Last column: nearest neighbours and their distance in Å.
Space group I4_1/amd (No. 141, origin choice 2)
Asymmetric unit:
1 La 0.0000 0.0000 0.0000  6 O 2.42-2.56
2 V 0.0000 0.0474 0.3711  1 O 1.80
3 O 0.0000 0.0903 0.7669  1 V 1.80

- Raw total energy: -34.58 eV/f.u.


Entry 6:
VASP calculation (GGA+U) on a relaxed LaVO2 crystal.

a = 3.3980 Å, b = 3.3980 Å, c = 19.3135 Å
α = 90.00°, β = 90.00°, γ = 120.00°
Last column: nearest neighbours and their distance in Å.
Space group R-3m (No. 166, hexagonal axes)
Asymmetric unit:
1 La 0.0000 0.0000 0.0000  2 O 2.26
2 V 0.0000 0.0000 0.5000  6 O 2.19
3 O 0.0000 0.0000 0.1168  3 V 2.19, 1 La 2.26

- Relative energy among the computed polymorphs: 417.0 meV/atom


Entry 7:
VASP calculation (GGA+U) on a relaxed LaVO2 crystal.

a = 3.9427 Å, b = 3.9427 Å, c = 17.1255 Å
α = 90.00°, β = 90.00°, γ = 120.00°
Last column: nearest neighbours and their distance in Å.
Space group R-3m (No. 166, hexagonal axes)
Asymmetric unit:
1 La 0.0000 0.0000 0.0000  6 O 2.48
2 V 0.0000 0.0000 0.5000  2 O 1.87
3 O 0.0000 0.0000 0.3906  1 V 1.87

- Relative energy among the computed polymorphs: 0.0 meV/atom


Entry 8:
VASP calculation (GGA+U) on a relaxed LaVO3 crystal.

a = 3.9484 Å, b = 3.9484 Å, c = 3.9484 Å
α = 90.00°, β = 90.00°, γ = 90.00°
Last column: nearest neighbours and their distance in Å.
Space group Pm-3m (No. 221)
Asymmetric unit:
1 La 0.0000 0.0000 0.0000  12 O 2.79
2 V 0.5000 0.5000 0.5000  6 O 1.97
3 O 0.0000 0.5000 0.5000  2 V 1.97

- Raw total energy: -40.61 eV/f.u.


Entry 9:
VASP calculation (GGA+U) on a relaxed LaV2O5 crystal.

a = 4.1158 Å, b = 9.8858 Å, c = 9.6633 Å
α = 90.00°, β = 90.00°, γ = 90.00°
Last column: nearest neighbours and their distance in Å.
Space group Cmcm (No. 63)
Asymmetric unit:
1 La 0.0000 0.0542 0.2500  5 O 2.42-2.48
2 V 0.0000 0.3509 0.0523  6 O 1.92-2.08
3 O 0.0000 0.1667 0.5250  3 V 1.97-2.08
4 O 0.0000 0.3051 0.2500  2 V 1.96
5 O 0.0000 0.4515 0.6180  2 V 1.92-2.05

- Raw total energy: -64.55 eV/f.u.


Entry 10:
VASP calculation (GGA+U) on a relaxed La2VO crystal.

a = 7.3221 Å, b = 7.3221 Å, c = 8.3483 Å
α = 90.00°, β = 90.00°, γ = 90.00°
Last column: nearest neighbours and their distance in Å.
Space group I-42d (No. 122)
Asymmetric unit:
1 La 0.1434 0.2500 0.1250  2 O 2.35
2 V 0.0000 0.0000 0.5000  4 La 3.36
3 O 0.0000 0.0000 0.0000  4 La 2.35

- Raw total energy: -25.35 eV/f.u.


Entry 11:
VASP calculation (GGA+U) on a relaxed LaVO2 crystal.

a = 5.1028 Å, b = 5.1028 Å, c = 10.7218 Å
α = 90.00°, β = 90.00°, γ = 90.00°
Last column: nearest neighbours and their distance in Å.
Space group I-42d (No. 122)
Asymmetric unit:
1 La 0.0000 0.0000 0.0000  4 O 2.36
2 V 0.0000 0.0000 0.5000  4 O 2.14
3 O 0.2120 0.2500 0.6250  2 V 2.14, 2 La 2.36

- Relative energy among the computed polymorphs: 246.5 meV/atom


Entry 12:
VASP calculation (GGA+U) on a relaxed LaVZn2O crystal.

a = 5.4249 Å, b = 5.4249 Å, c = 3.6795 Å
α = 90.00°, β = 90.00°, γ = 90.00°
Last column: nearest neighbours and their distance in Å.
Space group P4/mmm (No. 123)
Asymmetric unit:
1 La 0.0000 0.0000 0.0000  8 Zn 3.28
2 V 0.5000 0.5000 0.0000  2 O 1.84
3 Zn 0.0000 0.5000 0.5000  2 O 2.71
4 O 0.5000 0.5000 0.5000  2 V 1.84

- Relative energy among the computed polymorphs: 0.0 meV/atom


Calculated volume per entry: 153.0 427.0 205.7 701.3 727.1 193.1 230.6 61.6 393.2 447.6 279.2 108.3 Å³/cell